(1)
{"formula": "Cu2SI", "functional": "PBE", "state": "relaxed", "spacegroup": "No. 160", "vol_a3_per_cell": 277.9, "e_above_lowest_polymorph_ev_per_fu": 0.684, "formation_energy_uncorrected_mev_per_atom": -8.2, "lattice_angstrom": [[3.833, 0.000, 0.000], [-1.917, 3.320, 0.000], [0.000, 0.000, 21.834]], "species": ["Cu", "Cu", "Cu", "Cu", "Cu", "Cu", "S", "S", "S", "I", "I", "I"], "frac_coords": [[0.000, 0.000, 0.000], [0.000, 0.000, 0.268], [0.333, 0.667, 0.667], [0.333, 0.667, 0.934], [0.667, 0.333, 0.333], [0.667, 0.333, 0.601], [0.000, 0.000, 0.687], [0.333, 0.667, 0.353], [0.667, 0.333, 0.020], [0.000, 0.000, 0.863], [0.333, 0.667, 0.530], [0.667, 0.333, 0.196]]}

***

(2)
{"formula": "Cu4S5I", "functional": "PBE", "state": "relaxed", "spacegroup": "No. 59", "vol_a3_per_cell": 450.1, "formation_energy_uncorrected_mev_per_atom": -62.7, "lattice_angstrom": [[9.139, 0.000, 0.000], [0.000, 10.107, 0.000], [0.000, 0.000, 4.872]], "species": ["Cu", "Cu", "Cu", "Cu", "Cu", "Cu", "Cu", "Cu", "S", "S", "S", "S", "S", "S", "S", "S", "S", "S", "I", "I"], "frac_coords": [[0.038, 0.250, 0.219], [0.250, 0.115, 0.879], [0.250, 0.385, 0.879], [0.462, 0.250, 0.219], [0.538, 0.750, 0.781], [0.750, 0.615, 0.121], [0.750, 0.885, 0.121], [0.962, 0.750, 0.781], [0.072, 0.032, 0.147], [0.072, 0.468, 0.147], [0.250, 0.250, 0.523], [0.428, 0.032, 0.147], [0.428, 0.468, 0.147], [0.572, 0.532, 0.853], [0.572, 0.968, 0.853], [0.750, 0.750, 0.477], [0.928, 0.532, 0.853], [0.928, 0.968, 0.853], [0.250, 0.750, 0.656], [0.750, 0.250, 0.344]]}

***

(3)
{"formula": "Cu12S5I3", "functional": "PBE", "state": "relaxed", "spacegroup": "No. 230", "vol_a3_per_cell": 1597.4, "formation_energy_uncorrected_mev_per_atom": -53.2, "lattice_angstrom": [[-7.364, 7.364, 7.364], [7.364, -7.364, 7.364], [7.364, 7.364, -7.364]], "species": ["Cu", "Cu", "Cu", "Cu", "Cu", "Cu", "Cu", "Cu", "Cu", "Cu", "Cu", "Cu", "Cu", "Cu", "Cu", "Cu", "Cu", "Cu", "Cu", "Cu", "Cu", "Cu", "Cu", "Cu", "Cu", "Cu", "Cu", "Cu", "Cu", "Cu", "Cu", "Cu", "Cu", "Cu", "Cu", "Cu", "Cu", "Cu", "Cu", "Cu", "Cu", "Cu", "Cu", "Cu", "Cu", "Cu", "Cu", "Cu", "S", "S", "S", "S", "S", "S", "S", "S", "S", "S", "S", "S", "S", "S", "S", "S", "S", "S", "S", "S", "I", "I", "I", "I", "I", "I", "I", "I", "I", "I", "I", "I"], "frac_coords": [[0.020, 0.123, 0.692], [0.020, 0.397, 0.328], [0.069, 0.672, 0.192], [0.069, 0.897, 0.877], [0.103, 0.123, 0.931], [0.103, 0.480, 0.172], [0.123, 0.692, 0.020], [0.123, 0.931, 0.103], [0.172, 0.103, 0.480], [0.172, 0.569, 0.692], [0.192, 0.069, 0.672], [0.192, 0.623, 0.520], [0.308, 0.828, 0.431], [0.308, 0.980, 0.877], [0.328, 0.020, 0.397], [0.328, 0.808, 0.931], [0.377, 0.397, 0.569], [0.377, 0.480, 0.808], [0.397, 0.328, 0.020], [0.397, 0.569, 0.377], [0.431, 0.308, 0.828], [0.431, 0.623, 0.603], [0.480, 0.172, 0.103], [0.480, 0.808, 0.377], [0.520, 0.192, 0.623], [0.520, 0.828, 0.897], [0.569, 0.377, 0.397], [0.569, 0.692, 0.172], [0.603, 0.431, 0.623], [0.603, 0.672, 0.980], [0.623, 0.520, 0.192], [0.623, 0.603, 0.431], [0.672, 0.192, 0.069], [0.672, 0.980, 0.603], [0.692, 0.020, 0.123], [0.692, 0.172, 0.569], [0.808, 0.377, 0.480], [0.808, 0.931, 0.328], [0.828, 0.431, 0.308], [0.828, 0.897, 0.520], [0.877, 0.069, 0.897], [0.877, 0.308, 0.980], [0.897, 0.520, 0.828], [0.897, 0.877, 0.069], [0.931, 0.103, 0.123], [0.931, 0.328, 0.808], [0.980, 0.603, 0.672], [0.980, 0.877, 0.308], [0.000, 0.000, 0.000], [0.000, 0.000, 0.500], [0.000, 0.500, 0.000], [0.000, 0.500, 0.500], [0.125, 0.750, 0.875], [0.125, 0.875, 0.250], [0.250, 0.125, 0.875], [0.250, 0.625, 0.375], [0.375, 0.250, 0.625], [0.375, 0.625, 0.750], [0.500, 0.000, 0.000], [0.500, 0.000, 0.500], [0.500, 0.500, 0.000], [0.500, 0.500, 0.500], [0.625, 0.375, 0.250], [0.625, 0.750, 0.375], [0.750, 0.375, 0.625], [0.750, 0.875, 0.125], [0.875, 0.125, 0.750], [0.875, 0.250, 0.125], [0.125, 0.250, 0.375], [0.125, 0.375, 0.750], [0.250, 0.375, 0.125], [0.250, 0.875, 0.625], [0.375, 0.125, 0.250], [0.375, 0.750, 0.125], [0.625, 0.250, 0.875], [0.625, 0.875, 0.750], [0.750, 0.125, 0.375], [0.750, 0.625, 0.875], [0.875, 0.625, 0.250], [0.875, 0.750, 0.625]]}

***

(4)
{"formula": "Cu2SI", "functional": "PBE", "state": "relaxed", "spacegroup": "No. 115", "vol_a3_per_cell": 89.4, "e_above_lowest_polymorph_ev_per_fu": 0.041, "formation_energy_uncorrected_mev_per_atom": -169.0, "lattice_angstrom": [[3.953, 0.000, 0.000], [0.000, 3.953, 0.000], [0.000, 0.000, 5.719]], "species": ["Cu", "Cu", "S", "I"], "frac_coords": [[0.000, 0.500, 0.185], [0.500, 0.000, 0.815], [0.500, 0.500, 0.000], [0.000, 0.000, 0.500]]}

***

(5)
{"formula": "CuS2I", "functional": "PBE", "state": "relaxed", "spacegroup": "No. 20", "vol_a3_per_cell": 495.1, "e_above_lowest_polymorph_ev_per_fu": 0.000, "formation_energy_uncorrected_mev_per_atom": -29.0, "lattice_angstrom": [[8.474, 0.000, 0.000], [0.000, 13.080, 0.000], [0.000, 0.000, 4.467]], "species": ["Cu", "Cu", "Cu", "Cu", "S", "S", "S", "S", "S", "S", "S", "S", "I", "I", "I", "I"], "frac_coords": [[0.212, 0.000, 0.000], [0.288, 0.500, 0.500], [0.712, 0.500, 0.000], [0.788, 0.000, 0.500], [0.112, 0.415, 0.794], [0.112, 0.585, 0.206], [0.388, 0.085, 0.294], [0.388, 0.915, 0.706], [0.612, 0.085, 0.206], [0.612, 0.915, 0.794], [0.888, 0.415, 0.706], [0.888, 0.585, 0.294], [0.000, 0.124, 0.250], [0.000, 0.876, 0.750], [0.500, 0.376, 0.750], [0.500, 0.624, 0.250]]}

***

(6)
{"formula": "CuSI2", "functional": "PBE", "state": "relaxed", "spacegroup": "No. 8", "vol_a3_per_cell": 230.4, "e_above_lowest_polymorph_ev_per_fu": 0.000, "formation_energy_uncorrected_mev_per_atom": -1.9, "lattice_angstrom": [[6.748, 0.000, 0.000], [0.000, 3.873, 0.000], [-2.313, 0.000, 8.817]], "species": ["Cu", "Cu", "S", "S", "I", "I", "I", "I"], "frac_coords": [[0.000, 0.000, 0.000], [0.500, 0.500, 0.000], [0.310, 0.000, 0.935], [0.810, 0.500, 0.935], [0.108, 0.000, 0.297], [0.217, 0.000, 0.651], [0.608, 0.500, 0.297], [0.717, 0.500, 0.651]]}

***

(7)
{"formula": "CuS3I", "functional": "PBE", "state": "relaxed", "spacegroup": "No. 221", "vol_a3_per_cell": 96.0, "e_above_lowest_polymorph_ev_per_fu": 3.351, "formation_energy_uncorrected_mev_per_atom": 648.6, "lattice_angstrom": [[4.579, 0.000, 0.000], [0.000, 4.579, 0.000], [0.000, 0.000, 4.579]], "species": ["Cu", "S", "S", "S", "I"], "frac_coords": [[0.000, 0.000, 0.000], [0.000, 0.000, 0.500], [0.000, 0.500, 0.000], [0.500, 0.000, 0.000], [0.500, 0.500, 0.500]]}

***

(8)
{"formula": "CuS8I2", "functional": "PBE", "state": "relaxed", "spacegroup": "No. 2", "vol_a3_per_cell": 321.8, "formation_energy_uncorrected_mev_per_atom": 180.6, "lattice_angstrom": [[6.046, 0.000, 0.000], [-3.013, 7.105, 0.000], [-0.077, -3.875, 7.491]], "species": ["Cu", "S", "S", "S", "S", "S", "S", "S", "S", "I", "I"], "frac_coords": [[0.000, 0.000, 0.000], [0.182, 0.855, 0.134], [0.315, 0.633, 0.977], [0.324, 0.145, 0.866], [0.455, 0.918, 0.717], [0.545, 0.082, 0.283], [0.676, 0.855, 0.134], [0.685, 0.367, 0.023], [0.818, 0.145, 0.866], [0.133, 0.262, 0.383], [0.867, 0.738, 0.617]]}